--- a ---
Below is an optimized crystal structure of LiTl4Ni4O12, with properties calculated at the GGA+U level.

Mass density in g cm⁻³: 8.5
Space group: P1, No. 1

Lattice parameters (Å, degrees): 5.2905 5.6495 8.1618 86.53 87.96 89.62
Fractional positions:
1 Li 0.0000 0.0000 0.0000
2 Tl 0.0875 0.8123 0.3787
3 Tl 0.1202 0.6470 0.8382
4 Tl 0.5615 0.1977 0.8684
5 Tl 0.6452 0.3165 0.3888
6 Ni 0.1051 0.2374 0.6212
7 Ni 0.1369 0.2918 0.1594
8 Ni 0.6052 0.7540 0.6159
9 Ni 0.6052 0.7627 0.1342
10 O 0.2462 0.2071 0.3929
11 O 0.3136 0.9458 0.7000
12 O 0.3393 0.0137 0.0770
13 O 0.3811 0.4985 0.0493
14 O 0.4068 0.4422 0.6744
15 O 0.4901 0.7079 0.3650
16 O 0.7452 0.8116 0.9095
17 O 0.8145 0.0503 0.5697
18 O 0.8571 0.0616 0.2097
19 O 0.8990 0.5482 0.2033
20 O 0.9124 0.5549 0.5666
21 O 0.9763 0.2759 0.8593



--- b ---
Below is an optimized crystal structure of LiTl4Ni4O12, with properties calculated at the GGA+U level.

Mass density in g cm⁻³: 8.7
Space group: P1, No. 1

Lattice parameters (Å, degrees): 5.5907 5.6818 7.6113 88.93 88.54 82.32
Fractional positions:
1 Li 0.0000 0.0000 0.0000
2 Tl 0.2587 0.2473 0.5094
3 Tl 0.3461 0.2125 0.0264
4 Tl 0.7566 0.7582 0.4902
5 Tl 0.7869 0.6255 0.0020
6 Ni 0.2716 0.7155 0.2530
7 Ni 0.2849 0.7015 0.7497
8 Ni 0.7689 0.1916 0.7399
9 Ni 0.7806 0.2126 0.2641
10 O 0.0721 0.4074 0.1992
11 O 0.1272 0.3957 0.8130
12 O 0.1787 0.6435 0.5009
13 O 0.3583 0.7907 0.9999
14 O 0.4656 0.0376 0.2984
15 O 0.4766 0.9866 0.6785
16 O 0.5885 0.5399 0.2793
17 O 0.6040 0.5151 0.7058
18 O 0.7238 0.2348 0.9921
19 O 0.8778 0.1581 0.5067
20 O 0.9502 0.8688 0.7913
21 O 0.9533 0.8814 0.2211



--- c ---
Below is an optimized crystal structure of LiTl4Ni4O12, with properties calculated at the GGA+U level.

Mass density in g cm⁻³: 8.8
Space group: P1, No. 1

Lattice parameters (Å, degrees): 5.3565 5.5404 8.0081 87.98 86.87 89.30
Fractional positions:
1 Li 0.0000 0.0000 0.0000
2 Tl 0.1258 0.0605 0.6666
3 Tl 0.1792 0.2011 0.2284
4 Tl 0.6110 0.6749 0.1718
5 Tl 0.6581 0.5591 0.6860
6 Ni 0.1287 0.5901 0.9321
7 Ni 0.1463 0.6274 0.4447
8 Ni 0.6095 0.1170 0.9294
9 Ni 0.6512 0.1186 0.4356
10 O 0.0190 0.5716 0.1693
11 O 0.2524 0.6588 0.7006
12 O 0.3336 0.9209 0.0116
13 O 0.3407 0.9164 0.3922
14 O 0.4179 0.4102 0.0006
15 O 0.4428 0.4341 0.3789
16 O 0.5251 0.1647 0.6878
17 O 0.7585 0.0666 0.1797
18 O 0.8269 0.7862 0.8830
19 O 0.8591 0.8250 0.5083
20 O 0.9224 0.2880 0.8650
21 O 0.9509 0.3345 0.4883



Verdict on stability: b comes out at the bottom.



--- a ---
Below is an optimized crystal structure of LiV2NiO6, with properties calculated at the GGA+U level.

Mass density in g cm⁻³: 3.6
Space group: C2, No. 5

Lattice parameters (Å, degrees): 6.9174 6.9174 5.6155 107.96 107.96 77.51
Fractional positions:
1 Li 0.0000 0.0000 0.0000
2 Li 0.5488 0.4512 0.5000
3 V 0.1105 0.3398 0.5502
4 V 0.4539 0.1069 0.9839
5 V 0.6602 0.8895 0.4498
6 V 0.8931 0.5461 0.0161
7 Ni 0.2005 0.7995 0.5000
8 Ni 0.3569 0.6431 0.0000
9 O 0.0740 0.7116 0.0978
10 O 0.1625 0.0807 0.4362
11 O 0.2797 0.5275 0.6024
12 O 0.2884 0.9260 0.9022
13 O 0.3043 0.3384 0.9404
14 O 0.4725 0.7203 0.3976
15 O 0.5768 0.1377 0.3168
16 O 0.6334 0.0446 0.8054
17 O 0.6616 0.6957 0.0596
18 O 0.8623 0.4232 0.6832
19 O 0.9193 0.8375 0.5638
20 O 0.9554 0.3666 0.1946



--- b ---
Below is an optimized crystal structure of LiV2NiO6, with properties calculated at the GGA+U level.

Mass density in g cm⁻³: 3.1
Space group: C2/c, No. 15

Lattice parameters (Å, degrees): 7.5134 7.5134 5.7955 111.02 111.02 81.32
Fractional positions:
1 Li 0.1771 0.8229 0.7500
2 Li 0.8229 0.1771 0.2500
3 V 0.1989 0.3895 0.7701
4 V 0.3895 0.1989 0.2701
5 V 0.6105 0.8011 0.7299
6 V 0.8011 0.6105 0.2299
7 Ni 0.1863 0.8137 0.2500
8 Ni 0.8137 0.1863 0.7500
9 O 0.0035 0.2504 0.6241
10 O 0.1363 0.6234 0.8861
11 O 0.2504 0.0035 0.1241
12 O 0.3176 0.3621 0.5396
13 O 0.3621 0.3176 0.0396
14 O 0.3766 0.8637 0.6139
15 O 0.6234 0.1363 0.3861
16 O 0.6379 0.6824 0.9604
17 O 0.6824 0.6379 0.4604
18 O 0.7496 0.9965 0.8759
19 O 0.8637 0.3766 0.1139
20 O 0.9965 0.7496 0.3759



Verdict on stability: b comes out at the bottom.